DFT (GGA+U) results for a relaxed structure of Cs2DyMoO6.

raw total energy = -0.228 hartree per atom
space group = P-3m1, No. 164

Cell: 5.8599 6.8022 6.8022 Å, 120.00 90.00 90.00°
Closest atoms and distances in Å follow each position.
Atoms (fractional coordinates):
Cs 0.1318 0.3333 0.6667  9 O 3.12-3.46
O 0.2081 0.8704 0.7409  1 Mo 1.95
Mo 0.0000 0.0000 0.0000  6 O 1.95
O 0.2081 0.2591 0.1296  1 Mo 1.95
O 0.7919 0.7409 0.8704  1 Mo 1.95
Dy 0.5000 0.0000 0.0000  6 O 2.29
Cs 0.8682 0.6667 0.3333  9 O 3.12-3.46
O 0.7919 0.1296 0.8704  1 Mo 1.95
O 0.2081 0.8704 0.1296  1 Mo 1.95
O 0.7919 0.1296 0.2591  1 Mo 1.95